CsK2DyF6 | PBE | optimized geometry

Output
Magnetic moment (Bohr magnetons per cell): 0.2
Space group: R3, No. 146
E_tot (eV/cell): -52.22

a = 6.961 Å, b = 6.961 Å, c = 6.961 Å
α = 57.22°, β = 57.22°, γ = 57.22°
Positions (direct):
1 Cs 0.000 0.000 0.000
2 K 0.272 0.272 0.272
3 K 0.784 0.784 0.784
4 Dy 0.483 0.483 0.483
5 F 0.138 0.641 0.422
6 F 0.247 0.565 0.821
7 F 0.422 0.138 0.641
8 F 0.565 0.821 0.247
9 F 0.641 0.422 0.138
10 F 0.821 0.247 0.565